LuAgAu after structural relaxation, computed with GGA-PBE.

It has space group P-6m2 (No. 187), with a = 4.6911 Å, b = 4.6911 Å, c = 3.3424 Å, α = 90.00°, β = 90.00° and γ = 120.00°. Symmetry generates all atoms from Lu at (0.0000, 0.0000, 0.0000), Ag at (0.6667, 0.3333, 0.5000) and Au at (0.3333, 0.6667, 0.5000).

As for the density: 12.5 g/cm³. For the density of states at the Fermi level, the calculation gives 0.417 states/eV/atom. Its formation energy is -0.503 eV per atom. The value obtained for the offset from the most stable computed form is 0.40 eV per formula unit. The calculation puts the size of the total moment at 0.00 μB/cell.